First-principles (GGA-PBE) data for crystalline In2IrPb at its relaxed geometry, as listed in Alexandria.

- crystal system = monoclinic
- energy relative to the elements (meV per atom) = 172.4

Lattice parameters (Å, degrees): 8.5304 3.9641 6.0043 90.00 105.99 90.00
Space group C2/m (No. 12)
One atom of each set of equivalent atoms:
In: 0.2233 0.0000 0.1756 (multiplicity 4)
Ir: 0.0000 0.5000 0.0000 (multiplicity 2)
Pb: 0.0000 0.0000 0.5000 (multiplicity 2)